No. 1
Entry from the Alexandria database: SrTe2Pt after structural relaxation (GGA-PBE).

## Properties
ΔE_f (raw) (eV/atom): -0.828
V (Å³/atom): 31.7
Density of states at the Fermi level (states/eV/cell): 0.9
Relative energy among the computed polymorphs (meV/atom): 103.5

Lattice parameters (Å, degrees): 4.0518 4.8467 6.9483 68.35 90.00 90.00
Closest atoms and distances in Å follow each position.
Atoms (fractional coordinates):
1 Pt 0.5000 0.2500 0.2500  4 Te 2.66
2 Sr 0.5000 0.7500 0.7500  4 Te 3.42, 2 Pt 3.43
3 Te 0.0000 0.1711 0.0271  2 Pt 2.66
4 Te 0.0000 0.3289 0.4729  2 Pt 2.66

***

No. 2
Entry from the Alexandria database: SrTe2Pt after structural relaxation (GGA-PBE).

## Properties
ΔE_f (raw) (eV/atom): -0.240
V (Å³/atom): 26.7
Density of states at the Fermi level (states/eV/cell): 4.4
Relative energy among the computed polymorphs (meV/atom): 692.2

Lattice parameters (Å, degrees): 5.3228 5.3228 5.3228 60.00 60.00 60.00
Closest atoms and distances in Å follow each position.
Atoms (fractional coordinates):
1 Pt 0.5000 0.5000 0.5000  4 Te 3.26, 4 Sr 3.26
2 Sr 0.7500 0.7500 0.7500  4 Pt 3.26, 4 Te 3.26
3 Te 0.0000 0.0000 0.0000  4 Te 3.26, 4 Sr 3.26
4 Te 0.2500 0.2500 0.2500  4 Te 3.26, 4 Pt 3.26

***

No. 3
Entry from the Alexandria database: SrTePt after structural relaxation (GGA-PBE).

## Properties
ΔE_f (raw) (eV/atom): -1.048
V (Å³/atom): 28.2
Density of states at the Fermi level (states/eV/cell): 0.0
Relative energy among the computed polymorphs (meV/atom): 51.0

Lattice parameters (Å, degrees): 4.6522 4.6522 9.4268 104.26 75.85 120.00
Closest atoms and distances in Å follow each position.
Atoms (fractional coordinates):
1 Sr 0.6425 0.6611 0.6534  6 Pt 3.23-3.53, 6 Te 3.48-3.51
2 Sr 0.7984 0.5012 0.1770  1 Pt 2.94
3 Te 0.3904 0.9107 0.4043  3 Pt 2.69
4 Te 0.2288 0.0764 0.8982  3 Pt 2.72
5 Pt 0.0585 0.2424 0.3995  3 Te 2.69
6 Pt 0.9112 0.3945 0.8519  3 Te 2.72, 1 Sr 2.94

***

No. 4
Entry from the Alexandria database: SrTePt3 after structural relaxation (GGA-PBE).

## Properties
ΔE_f (raw) (eV/atom): 1.382
V (Å³/atom): 28.2
Density of states at the Fermi level (states/eV/cell): 4.4
Relative energy among the computed polymorphs (meV/atom): 1570.1

Lattice parameters (Å, degrees): 5.2044 5.2044 5.2044 90.00 90.00 90.00
Closest atoms and distances in Å follow each position.
Atoms (fractional coordinates):
1 Sr 0.0000 0.0000 0.0000  6 Pt 2.60
2 Te 0.5000 0.5000 0.5000  12 Pt 3.68
3 Pt 0.0000 0.5000 0.0000  2 Sr 2.60
4 Pt 0.0000 0.0000 0.5000  2 Sr 2.60
5 Pt 0.5000 0.0000 0.0000  2 Sr 2.60

***

No. 5
Entry from the Alexandria database: SrTe2Pt after structural relaxation (GGA-PBE).

## Properties
ΔE_f (raw) (eV/atom): -0.791
V (Å³/atom): 32.1
Density of states at the Fermi level (states/eV/cell): 2.4
Relative energy among the computed polymorphs (meV/atom): 141.1

Lattice parameters (Å, degrees): 4.1270 4.7027 7.2626 65.67 90.00 90.00
Closest atoms and distances in Å follow each position.
Atoms (fractional coordinates):
1 Pt 0.0000 0.2862 0.5431  3 Te 2.59-2.61
2 Sr 0.5000 0.6837 0.7203  4 Pt 3.31-3.38, 5 Te 3.43-3.53
3 Te 0.0000 0.0465 0.9340  1 Pt 2.59
4 Te 0.5000 0.4837 0.3027  2 Pt 2.61

***

No. 6
Entry from the Alexandria database: SrTe3Pt after structural relaxation (GGA-PBE).

## Properties
ΔE_f (raw) (eV/atom): -0.488
V (Å³/atom): 31.7
Density of states at the Fermi level (states/eV/cell): 4.2
Relative energy among the computed polymorphs (meV/atom): 0.0

Lattice parameters (Å, degrees): 5.4105 5.4105 5.4105 90.00 90.00 90.00
Closest atoms and distances in Å follow each position.
Atoms (fractional coordinates):
1 Sr 0.5000 0.5000 0.5000  12 Te 3.83
2 Te 0.0000 0.5000 0.0000  2 Pt 2.71
3 Te 0.0000 0.0000 0.5000  2 Pt 2.71
4 Te 0.5000 0.0000 0.0000  2 Pt 2.71
5 Pt 0.0000 0.0000 0.0000  6 Te 2.71

***

Question: Which of these has the highest relative energy among the computed polymorphs?
Answer: SrTePt3

***

Question: What is the formula in the fifth record?
Answer: SrTe2Pt

***

Question: The highest ΔE_f (raw) belongs to which entry?
Answer: SrTePt3